First-principles (PBE-GGA) data for a relaxed TlPt7 crystal, as listed in OQMD.

Output
The calculation puts the energy above the most stable polymorph in this dataset at 0.000 eV/atom.

Cell lengths 2.836, 3.907, 34.550 Å; angles 90.00, 90.00, 90.00 degrees
Space group Pmmn (No. 59, origin choice 2)
Symmetry-distinct sites (fractional):
1 Tl 0.250 0.250 0.182
2 Pt 0.250 0.250 0.275
3 Pt 0.250 0.250 0.358
4 Pt 0.250 0.250 0.439
5 Pt 0.250 0.250 0.520
6 Pt 0.250 0.250 0.602
7 Pt 0.250 0.250 0.683
8 Pt 0.250 0.250 0.765